A PBEsol-optimized structure of Li2MgRh, computed with meta-GGA SCAN.

Geometry as CIF:
```
data_Li2MgRh
_symmetry_space_group_name_H-M 'I 4/m m m'
_symmetry_Int_Tables_number 139
_symmetry_space_group_name_Hall '-I 4 2'
_cell_length_a 3.7957
_cell_length_b 3.7957
_cell_length_c 8.1282
_cell_angle_alpha 90.00
_cell_angle_beta 90.00
_cell_angle_gamma 90.00
loop_
_atom_site_label
_atom_site_fract_x
_atom_site_fract_y
_atom_site_fract_z
_atom_site_occupancy
Li1 0.0000 0.5000 0.2500 1
Mg1 0.0000 0.0000 0.0000 1
Rh1 0.0000 0.0000 0.5000 1
```

***

A PBEsol-optimized structure of Ba2Fe4AsP3, computed with meta-GGA SCAN.

Geometry as CIF:
```
data_Ba2Fe4AsP3
_symmetry_space_group_name_H-M 'A m m 2'
_symmetry_Int_Tables_number 38
_cell_length_a 5.3879
_cell_length_b 5.3870
_cell_length_c 12.1937
_cell_angle_alpha 90.00
_cell_angle_beta 90.00
_cell_angle_gamma 90.00
loop_
_symmetry_equiv_pos_as_xyz
'x,y,z'
'-x,-y,z'
'-x,y,z'
'x,-y,z'
'x,y+1/2,z+1/2'
'-x,-y+1/2,z+1/2'
'-x,y+1/2,z+1/2'
'x,-y+1/2,z+1/2'
loop_
_atom_site_label
_atom_site_fract_x
_atom_site_fract_y
_atom_site_fract_z
_atom_site_occupancy
Ba1 0.0000 0.0000 0.0000 1
Ba2 0.5000 0.0000 0.4989 1
Fe1 0.2463 0.2465 0.7545 1
As1 0.5000 0.0000 0.1539 1
P1 0.0000 0.0000 0.3411 1
P2 0.0000 0.0000 0.6645 1
P3 0.5000 0.0000 0.8402 1
```

***

The following electronic total energy values (in eV for the cell shown) correspond, in order, to the records above: -88.82, -419.71.
The following mass density values (in Mg/m³) correspond, in order, to the records above: 4.0, 6.2.